! Sm2ErHg, relaxed, DFT GGA-PBE; values from VASP
! **Fermi-level density of states**: 4.20 states/eV/f.u.
! **Calculated formation energy**: -0.135 eV per atom
&SYSTEM
  ibrav = 0, nat = 4, ntyp = 3
/
ATOMIC_SPECIES
Hg 200.59 Hg.upf
Sm 150.36 Sm.upf
Er 167.26 Er.upf
ATOMIC_POSITIONS angstrom
Hg 0.000 0.000 0.000
Sm 1.820 1.051 2.495
Sm 5.459 3.152 8.246
Er 3.639 2.101 5.370
CELL_PARAMETERS angstrom
3.639 0.000 0.000
1.820 3.152 0.000
1.820 1.051 10.741

! SmEr3Hg4, relaxed, DFT GGA-PBE; values from VASP
! **Fermi-level density of states**: 6.79 states/eV/f.u.
! **Calculated formation energy**: -0.283 eV per atom
&SYSTEM
  ibrav = 0, nat = 8, ntyp = 3
/
ATOMIC_SPECIES
Sm 150.36 Sm.upf
Er 167.26 Er.upf
Hg 200.59 Hg.upf
ATOMIC_POSITIONS angstrom
Sm -2.152 0.949 1.185
Er -1.482 -0.133 -2.584
Er -0.526 -2.161 0.777
Er -5.432 -3.405 -1.282
Hg -2.416 -3.380 -1.679
Hg -3.542 -2.186 1.173
Hg -4.240 -0.628 -1.342
Hg -1.718 -4.939 0.837
CELL_PARAMETERS angstrom
-4.303 1.899 2.370
-2.964 -0.267 -5.167
1.309 -7.199 2.291

The lowest Fermi-level density of states belongs to which entry?
Sm2ErHg

The highest calculated formation energy belongs to which entry?
Sm2ErHg

Which value of calculated formation energy does entry 1 give?
-0.135 eV per atom

Look up the calculated formation energy of the first one.
-0.135 eV per atom